DFT (PBE) results for a relaxed structure of TeC2Br.

Cell and atoms, written as CIF:
```
data_TeC2Br
_cell_length_a 6.022
_cell_length_b 6.022
_cell_length_c 8.375
_cell_angle_alpha 90.00
_cell_angle_beta 90.00
_cell_angle_gamma 90.00
_symmetry_space_group_name_H-M 'I -4 2 d'
_symmetry_Int_Tables_number 122
_symmetry_space_group_name_Hall 'I -4 2bw'
loop_
_atom_site_label
_atom_site_fract_x
_atom_site_fract_y
_atom_site_fract_z
_atom_site_occupancy
Te1 0.000 0.000 0.000 1
C1 0.213 0.250 0.125 1
Br1 0.000 0.000 0.500 1
```

ρ	5.06	Mg/m³
formation energy from raw total energies	2.221	eV/atom
offset from the most stable computed form	0	meV per atom